--- A ---
# NiBN2F

NiBN2F after structural relaxation (GGA+U, the Alexandria database).

The structure in POSCAR format:
```
NiBN2F
1.0
3.739 0.000 0.000
0.000 3.739 0.000
0.000 0.000 4.038
Ni B N F
1 1 2 1
direct
0.000 0.000 0.000
0.500 0.500 0.500
0.000 0.500 0.000
0.500 0.000 0.000
0.000 0.000 0.500
```


--- B ---
# NiBN2F

NiBN2F after structural relaxation (GGA+U, the Alexandria database).

The structure in POSCAR format:
```
NiBN2F
1.0
3.045 0.000 0.000
0.000 3.045 0.000
0.000 0.000 5.230
Ni B N F
1 1 2 1
direct
0.000 0.000 0.000
0.500 0.500 0.500
0.000 0.500 0.500
0.500 0.000 0.500
0.500 0.500 0.000
```


Most stable to least stable, the ends of the list are B and A.